Computed, not measured: a relaxed FeHgB3 crystal at the PBE level of DFT.

Geometry as POSCAR:
```
FeHgB3
1.0
3.903 0.000 0.000
0.000 3.903 0.000
0.000 0.000 3.903
B Hg Fe
3 1 1
direct
0.000 0.500 0.000
0.500 0.000 0.000
0.000 0.000 0.500
0.500 0.500 0.500
0.000 0.000 0.000
```

Its calculated total energy is -4.7477 eV/atom. Its formation energy is 1012 meV per atom. The space-group type is Pm-3m. The value obtained for the distance to the lowest polymorph of the same formula is 0.0 meV per atom.